Material: Ba2Br
Method: DFT, PBE
State: relaxed Values from VASP.

```
&SYSTEM
  ibrav = 0, nat = 6, ntyp = 2
/
ATOMIC_SPECIES
Ba 137.33 Ba.upf
Br 79.90 Br.upf
CELL_PARAMETERS angstrom
-2.033 2.033 16.274
2.033 -2.033 16.274
2.033 2.033 -16.274
ATOMIC_POSITIONS angstrom
Ba 0.000 0.000 18.512
Ba 2.033 0.000 5.899
Ba 0.000 0.000 14.037
Ba 2.033 0.000 10.375
Br 0.000 0.000 0.000
Br 0.000 2.033 8.137
```

Summary:
Energy above the most stable polymorph in this dataset, meV/atom: 169
E_tot, eV/cell: -16.1
Symmetry: I4_1/amd (141)
Total moment, μB per formula unit: 0.397
Formation energy (no corrections), eV per formula unit: -2.54
V, Å³/cell: 269.1
Theoretical density, Mg/m³: 4.4